Record 1
# PBE NaSn3Se, optimized geometry
data_NaSn3Se
_chemical_formula_sum 'Na1 Sn3 Se1'
_space_group_name_H-M_alt 'P m -3 m'
_space_group_IT_number 221
_space_group_name_Hall '-P 4 2 3'
_cell_length_a 5.6301
_cell_length_b 5.6301
_cell_length_c 5.6301
_cell_angle_alpha 90.00
_cell_angle_beta 90.00
_cell_angle_gamma 90.00
loop_
_atom_site_label
_atom_site_fract_x
_atom_site_fract_y
_atom_site_fract_z
_atom_site_occupancy
Na1 0.0000 0.0000 0.0000 1
Sn1 0.0000 0.5000 0.5000 1
Se1 0.5000 0.5000 0.5000 1
# - offset from the most stable computed form (kJ/mol of atoms) = 0.0
# - calculated volume (Å³ per cell) = 178.5
# - formation energy without anion corrections (kJ/mol of formula units) = 94
# - total moment (μB/cell) = 0.0

=====

Record 2
# PBE NaSn3Se, optimized geometry
data_NaSn3Se
_chemical_formula_sum 'Na1 Sn3 Se1'
_space_group_name_H-M_alt 'P m -3 m'
_space_group_IT_number 221
_space_group_name_Hall '-P 4 2 3'
_cell_length_a 5.4118
_cell_length_b 5.4118
_cell_length_c 5.4118
_cell_angle_alpha 90.00
_cell_angle_beta 90.00
_cell_angle_gamma 90.00
loop_
_atom_site_label
_atom_site_fract_x
_atom_site_fract_y
_atom_site_fract_z
_atom_site_occupancy
Na1 0.0000 0.0000 0.0000 1
Sn1 0.0000 0.0000 0.5000 1
Se1 0.5000 0.5000 0.5000 1
# - offset from the most stable computed form (kJ/mol of atoms) = 44.3
# - calculated volume (Å³ per cell) = 158.5
# - formation energy without anion corrections (kJ/mol of formula units) = 315
# - total moment (μB/cell) = 0.0

=====

Record 3
# PBE NaSn2Se2, optimized geometry
data_NaSn2Se2
_chemical_formula_sum 'Na2 Sn4 Se4'
_space_group_name_H-M_alt 'I 4/m m m'
_space_group_IT_number 139
_space_group_name_Hall '-I 4 2'
_cell_length_a 4.3156
_cell_length_b 4.3156
_cell_length_c 15.0007
_cell_angle_alpha 90.00
_cell_angle_beta 90.00
_cell_angle_gamma 90.00
loop_
_atom_site_label
_atom_site_fract_x
_atom_site_fract_y
_atom_site_fract_z
_atom_site_occupancy
Na1 0.0000 0.0000 0.0000 1
Sn1 0.0000 0.5000 0.2500 1
Se1 0.0000 0.0000 0.4130 1
# - offset from the most stable computed form (kJ/mol of atoms) = 10.4
# - calculated volume (Å³ per cell) = 279.4
# - formation energy without anion corrections (kJ/mol of formula units) = -138
# - total moment (μB/cell) = 0.0

=====

Record 4
# PBE NaSnSe3, optimized geometry
data_NaSnSe3
_chemical_formula_sum 'Na1 Sn1 Se3'
_space_group_name_H-M_alt 'P m -3 m'
_space_group_IT_number 221
_space_group_name_Hall '-P 4 2 3'
_cell_length_a 5.3616
_cell_length_b 5.3616
_cell_length_c 5.3616
_cell_angle_alpha 90.00
_cell_angle_beta 90.00
_cell_angle_gamma 90.00
loop_
_atom_site_label
_atom_site_fract_x
_atom_site_fract_y
_atom_site_fract_z
_atom_site_occupancy
Na1 0.0000 0.0000 0.0000 1
Sn1 0.5000 0.5000 0.5000 1
Se1 0.0000 0.5000 0.5000 1
# - offset from the most stable computed form (kJ/mol of atoms) = 34.4
# - calculated volume (Å³ per cell) = 154.1
# - formation energy without anion corrections (kJ/mol of formula units) = -74
# - total moment (μB/cell) = 0.0

=====

Record 5
# PBE Na4SnSe5, optimized geometry
data_Na4SnSe5
_chemical_formula_sum 'Na8 Sn2 Se10'
_space_group_name_H-M_alt 'I 4'
_space_group_IT_number 79
_cell_length_a 9.3660
_cell_length_b 9.3660
_cell_length_c 6.1338
_cell_angle_alpha 90.00
_cell_angle_beta 90.00
_cell_angle_gamma 90.00
loop_
_space_group_symop_operation_xyz
'x,y,z'
'-y,x,z'
'-x,-y,z'
'y,-x,z'
'x+1/2,y+1/2,z+1/2'
'-y+1/2,x+1/2,z+1/2'
'-x+1/2,-y+1/2,z+1/2'
'y+1/2,-x+1/2,z+1/2'
loop_
_atom_site_label
_atom_site_fract_x
_atom_site_fract_y
_atom_site_fract_z
_atom_site_occupancy
Na1 0.0939 0.7024 0.0000 1
Sn1 0.0000 0.0000 0.5741 1
Se1 0.0000 0.0000 0.9952 1
Se2 0.0839 0.7318 0.4945 1
# - calculated volume (Å³ per cell) = 538.1
# - formation energy without anion corrections (kJ/mol of formula units) = -622
# - total moment (μB/cell) = 3.9

=====

Record 6
# PBE NaSn4Se5, optimized geometry
data_NaSn4Se5
_chemical_formula_sum 'Na2 Sn8 Se10'
_space_group_name_H-M_alt 'I 4'
_space_group_IT_number 79
_cell_length_a 9.5039
_cell_length_b 9.5039
_cell_length_c 5.9329
_cell_angle_alpha 90.00
_cell_angle_beta 90.00
_cell_angle_gamma 90.00
loop_
_space_group_symop_operation_xyz
'x,y,z'
'-y,x,z'
'-x,-y,z'
'y,-x,z'
'x+1/2,y+1/2,z+1/2'
'-y+1/2,x+1/2,z+1/2'
'-x+1/2,-y+1/2,z+1/2'
'y+1/2,-x+1/2,z+1/2'
loop_
_atom_site_label
_atom_site_fract_x
_atom_site_fract_y
_atom_site_fract_z
_atom_site_occupancy
Na1 0.0000 0.0000 0.0000 1
Sn1 0.0949 0.7026 0.4995 1
Se1 0.0000 0.0000 0.4997 1
Se2 0.0991 0.6937 0.9990 1
# - offset from the most stable computed form (kJ/mol of atoms) = 0.2
# - calculated volume (Å³ per cell) = 535.9
# - formation energy without anion corrections (kJ/mol of formula units) = -530
# - total moment (μB/cell) = 0.0

=====

Record 7
# PBE NaSnSe3, optimized geometry
data_NaSnSe3
_chemical_formula_sum 'Na2 Sn2 Se6'
_space_group_name_H-M_alt 'P 1'
_space_group_IT_number 1
_cell_length_a 6.3866
_cell_length_b 6.5622
_cell_length_c 8.4650
_cell_angle_alpha 89.97
_cell_angle_beta 74.37
_cell_angle_gamma 89.86
loop_
_space_group_symop_operation_xyz
'x,y,z'
loop_
_atom_site_label
_atom_site_fract_x
_atom_site_fract_y
_atom_site_fract_z
_atom_site_occupancy
Na1 0.0000 0.0000 0.0000 1
Na2 0.4524 0.4991 0.7352 1
Sn1 0.1889 0.9517 0.5159 1
Sn2 0.2624 0.4515 0.2198 1
Se1 0.0235 0.5211 0.0235 1
Se2 0.1198 0.5584 0.5251 1
Se3 0.3318 0.0580 0.2106 1
Se4 0.4284 0.0198 0.7119 1
Se5 0.6070 0.6076 0.0351 1
Se6 0.8437 0.1084 0.7004 1
# - offset from the most stable computed form (kJ/mol of atoms) = 6.4
# - calculated volume (Å³ per cell) = 341.7
# - formation energy without anion corrections (kJ/mol of formula units) = -214
# - total moment (μB/cell) = 0.0

=====

Record 8
# PBE Na5SnSe4, optimized geometry
data_Na5SnSe4
_chemical_formula_sum 'Na10 Sn2 Se8'
_space_group_name_H-M_alt 'I m m m'
_space_group_IT_number 71
_space_group_name_Hall '-I 2 2'
_cell_length_a 4.3799
_cell_length_b 9.3792
_cell_length_c 12.4986
_cell_angle_alpha 90.00
_cell_angle_beta 90.00
_cell_angle_gamma 90.00
loop_
_atom_site_label
_atom_site_fract_x
_atom_site_fract_y
_atom_site_fract_z
_atom_site_occupancy
Na1 0.0000 0.0000 0.0000 1
Na2 0.0000 0.2966 0.1601 1
Sn1 0.0000 0.0000 0.5000 1
Se1 0.0000 0.0000 0.2769 1
Se2 0.0000 0.2874 0.5000 1
# - offset from the most stable computed form (kJ/mol of atoms) = 4.9
# - calculated volume (Å³ per cell) = 513.4
# - formation energy without anion corrections (kJ/mol of formula units) = -760
# - total moment (μB/cell) = 0.0